A relaxed Ca2HfPd crystal. Source: the Alexandria database, functional PBE.

- polymorph energy (0 for the lowest one) (meV/atom) = 0.0

Cell lengths 6.876, 6.876, 6.876 Å; angles 99.85, 99.85, 131.15 degrees
Sites, in units of the cell vectors:
1 Ca 0.049 0.625 0.924
2 Ca 0.375 0.299 0.424
3 Ca 0.701 0.125 0.076
4 Ca 0.875 0.951 0.576
5 Hf 0.250 0.750 0.500
6 Hf 0.500 0.500 0.000
7 Pd 0.000 0.000 0.000
8 Pd 0.750 0.250 0.500

=====

A relaxed La4Sm3Tl2 crystal. Source: the Alexandria database, functional PBE.

Cell lengths 5.633, 5.633, 10.865 Å; angles 90.00, 90.00, 120.00 degrees
Sites, in units of the cell vectors:
1 La 0.001 0.000 0.158
2 La 0.333 0.667 0.669
3 La 0.667 0.333 0.331
4 La 0.999 0.000 0.842
5 Sm 0.000 0.000 0.500
6 Sm 0.333 0.667 0.022
7 Sm 0.667 0.333 0.978
8 Tl 0.333 0.667 0.348
9 Tl 0.667 0.333 0.652

=====

A relaxed Ca2AlW crystal. Source: the Alexandria database, functional PBE.

Cell lengths 5.275, 5.275, 5.275 Å; angles 127.90, 127.90, 76.78 degrees
Sites, in units of the cell vectors:
1 Ca 0.000 0.000 0.000
2 Ca 0.750 0.250 0.500
3 Al 0.500 0.500 0.000
4 W 0.250 0.750 0.500

=====

no.,E (eV/atom),formation energy (eV per atom)
1,-4.54,0.25
2,-4.43,-0.14
3,-4.51,0.66